Record 1
Here is GaFeAg after structural relaxation from Alexandria. Energies are from GGA-PBE.

Cell lengths 3.0221, 3.0221, 9.7107 Å; angles 90.00, 90.00, 90.00 degrees
Last column: nearest neighbours and their distance in Å.
Space group P4/nmm (No. 129, origin choice 2)
One atom of each set of equivalent atoms:
Ga 0.2500 0.2500 0.2063 (multiplicity 2)  5 Fe 2.53-2.64, 4 Ag 2.81
Fe 0.2500 0.2500 0.9340 (multiplicity 2)  4 Fe 2.49, 5 Ga 2.53-2.64
Ag 0.2500 0.2500 0.6057 (multiplicity 2)  4 Ga 2.81, 8 Ag 2.96-3.02

**Density of states at the Fermi level**: 0.2398 states/eV per atom
**Electronic total energy**: -4.8351 eV per atom
**Energy of formation from the pure elements**: -55 meV/atom

---

Record 2
Here is Zr3Zn3Au2 after structural relaxation from Alexandria. Energies are from GGA-PBE.

Cell lengths 6.7125, 6.7125, 3.9860 Å; angles 90.00, 90.00, 120.00 degrees
Last column: nearest neighbours and their distance in Å.
Space group P-62m (No. 189)
One atom of each set of equivalent atoms:
Zr 0.0000 0.6078 0.0000 (multiplicity 3)  4 Au 2.87, 4 Zn 3.03
Zn 0.0000 0.2257 0.5000 (multiplicity 3)  2 Zn 2.62, 2 Au 2.67
Au 0.3333 0.6667 0.5000 (multiplicity 2)  3 Zn 2.67, 6 Zr 2.87

**Density of states at the Fermi level**: 0.9544 states/eV per atom
**Electronic total energy**: -4.7835 eV per atom
**Energy of formation from the pure elements**: -281 meV/atom